Entry from the Alexandria database: ZrNb3Tl2O12 after structural relaxation (GGA-PBE).

The structure in CIF format:
```
data_ZrNb3Tl2O12
_symmetry_space_group_name_H-M 'R -3 m'
_symmetry_Int_Tables_number 166
_symmetry_space_group_name_Hall '-R 3 2"'
_cell_length_a 7.6224
_cell_length_b 7.6224
_cell_length_c 18.8640
_cell_angle_alpha 90.00
_cell_angle_beta 90.00
_cell_angle_gamma 120.00
loop_
_atom_site_label
_atom_site_fract_x
_atom_site_fract_y
_atom_site_fract_z
_atom_site_occupancy
Zr1 0.0000 0.0000 0.0000 1
Nb1 0.0000 0.5000 0.5000 1
Tl1 0.0000 0.0000 0.3313 1
O1 0.0691 0.5345 0.6033 1
O2 0.0902 0.5451 0.8516 1
```

Values from the calculation:
Formation energy without anion corrections = -1.986 eV/atom
Theoretical density = 5.095 g cm⁻³